Entry 1:
Below is a geometry-optimized RbAg4Br8 structure, with properties calculated at the PBE level.

a = 8.096 Å, b = 8.096 Å, c = 9.612 Å
α = 65.09°, β = 65.09°, γ = 60.00°
Atoms (fractional coordinates):
Rb 0.500 0.500 0.500
Br 0.771 0.272 0.186
Br 0.726 0.726 0.822
Br 0.229 0.728 0.814
Br 0.272 0.771 0.186
Br 0.728 0.229 0.814
Br 0.771 0.771 0.186
Br 0.274 0.274 0.178
Br 0.229 0.229 0.814
Ag 0.000 0.500 0.000
Ag 0.500 0.000 0.000
Ag 0.500 0.500 0.000
Ag 0.000 0.000 0.000

symmetry: R-3m
E: -2.41 eV per atom
magnetization: 2.53 Bohr magnetons per cell
ΔE_f (raw): -0.427 eV per atom


Entry 2:
Below is a geometry-optimized Rb12Ag3Br5 structure, with properties calculated at the PBE level.

a = 18.204 Å, b = 18.204 Å, c = 18.204 Å
α = 109.47°, β = 109.47°, γ = 109.47°
Atoms (fractional coordinates):
Rb 0.955 0.587 0.172
Rb 0.955 0.368 0.283
Rb 0.087 0.172 0.455
Rb 0.672 0.455 0.587
Rb 0.783 0.328 0.915
Rb 0.045 0.632 0.717
Rb 0.545 0.328 0.913
Rb 0.455 0.783 0.868
Rb 0.045 0.413 0.828
Rb 0.632 0.045 0.217
Rb 0.172 0.087 0.955
Rb 0.413 0.368 0.585
Rb 0.172 0.085 0.717
Rb 0.717 0.585 0.172
Rb 0.328 0.545 0.413
Rb 0.913 0.828 0.545
Rb 0.368 0.955 0.783
Rb 0.587 0.955 0.672
Rb 0.915 0.087 0.632
Rb 0.585 0.717 0.672
Rb 0.085 0.172 0.217
Rb 0.368 0.413 0.085
Rb 0.828 0.915 0.283
Rb 0.413 0.045 0.328
Rb 0.415 0.283 0.328
Rb 0.455 0.672 0.087
Rb 0.328 0.783 0.415
Rb 0.915 0.828 0.783
Rb 0.283 0.415 0.828
Rb 0.913 0.085 0.868
Rb 0.587 0.632 0.415
Rb 0.415 0.132 0.587
Rb 0.868 0.585 0.913
Rb 0.672 0.217 0.585
Rb 0.217 0.545 0.632
Rb 0.132 0.415 0.087
Rb 0.132 0.717 0.545
Rb 0.085 0.913 0.368
Rb 0.087 0.915 0.132
Rb 0.217 0.672 0.085
Rb 0.545 0.217 0.132
Rb 0.828 0.913 0.045
Rb 0.283 0.868 0.955
Rb 0.717 0.132 0.045
Rb 0.783 0.455 0.368
Rb 0.868 0.283 0.455
Rb 0.632 0.587 0.915
Rb 0.585 0.868 0.413
Br 0.125 0.375 0.250
Br 0.250 0.875 0.125
Br 0.375 0.250 0.125
Br 0.250 0.375 0.625
Br 0.000 0.000 0.500
Br 0.000 0.000 0.000
Br 0.000 0.500 0.000
Br 0.750 0.625 0.375
Br 0.500 0.000 0.500
Br 0.750 0.125 0.875
Br 0.500 0.500 0.000
Br 0.500 0.500 0.500
Br 0.500 0.000 0.000
Br 0.625 0.750 0.875
Br 0.625 0.875 0.250
Br 0.125 0.750 0.375
Br 0.875 0.250 0.625
Br 0.875 0.625 0.750
Br 0.375 0.125 0.750
Br 0.000 0.500 0.500
Ag 0.875 0.125 0.250
Ag 0.750 0.875 0.625
Ag 0.250 0.625 0.875
Ag 0.250 0.125 0.375
Ag 0.875 0.750 0.125
Ag 0.375 0.625 0.250
Ag 0.125 0.250 0.875
Ag 0.125 0.875 0.750
Ag 0.750 0.375 0.125
Ag 0.375 0.750 0.625
Ag 0.625 0.250 0.375
Ag 0.625 0.375 0.750

symmetry: Ia-3d
E: -2.17 eV per atom
magnetization: 0.00 Bohr magnetons per cell
ΔE_f (raw): -0.748 eV per atom